a:
# PmBr2

Crystalline PmBr2 at its relaxed geometry (PBE, the Open Quantum Materials Database).

It has space group Fd-3m (No. 227, origin choice 2), with a = 8.8959 Å, b = 8.8959 Å, c = 8.8959 Å, α = 90.00°, β = 90.00° and γ = 90.00°. Symmetry generates all atoms from Pm at (0.1250, 0.1250, 0.1250) and Br at (0.0000, 0.0000, 0.5000).

Its spin magnetization is 8.4 μB per cell.



b:
# PmBr2

Crystalline PmBr2 at its relaxed geometry (PBE, the Open Quantum Materials Database).

It has space group Fd-3m (No. 227, origin choice 2), with a = 12.9154 Å, b = 12.9154 Å, c = 12.9154 Å, α = 90.00°, β = 90.00° and γ = 90.00°. Symmetry generates all atoms from Pm at (0.1250, 0.1250, 0.1250) and Br at (0.0000, 0.0000, 0.0000).

Its spin magnetization is 8.0 μB per cell.



b takes first place; second place is 959 meV per atom up.



a:
# PmBr

Crystalline PmBr at its relaxed geometry (PBE, the Open Quantum Materials Database).

It has space group P-6m2 (No. 187), with a = 3.6760 Å, b = 3.6760 Å, c = 4.5945 Å, α = 90.00°, β = 90.00° and γ = 120.00°. Symmetry generates all atoms from Pm at (0.0000, 0.0000, 0.0000) and Br at (0.3333, 0.6667, 0.5000).

Its spin magnetization is 0.0 μB per cell.



b:
# PmBr

Crystalline PmBr at its relaxed geometry (PBE, the Open Quantum Materials Database).

It has space group Fm-3m (No. 225), with a = 5.9822 Å, b = 5.9822 Å, c = 5.9822 Å, α = 90.00°, β = 90.00° and γ = 90.00°. Symmetry generates all atoms from Pm at (0.0000, 0.0000, 0.0000) and Br at (0.0000, 0.0000, 0.5000).

Its spin magnetization is 0.0 μB per cell.



a takes first place; second place is 239 meV per atom up.